# 1
# H3PdN, optimized geometry, DFT PBE-GGA
# Volume = 6.349 Å³ per atom
# Offset from the most stable computed form = 0 meV per atom
data_H3PdN
_cell_length_a 3.166
_cell_length_b 3.166
_cell_length_c 3.166
_cell_angle_alpha 90.00
_cell_angle_beta 90.00
_cell_angle_gamma 90.00
_symmetry_space_group_name_H-M 'P 1'
_symmetry_Int_Tables_number 1
loop_
_symmetry_equiv_pos_as_xyz
'x,y,z'
loop_
_atom_site_label
_atom_site_type_symbol
_atom_site_fract_x
_atom_site_fract_y
_atom_site_fract_z
_atom_site_occupancy
H1 H 0.000 0.000 0.500 1
H2 H 0.000 0.500 0.000 1
H3 H 0.500 0.000 0.000 1
Pd1 Pd 0.500 0.500 0.500 1
N1 N 0.000 0.000 0.000 1

# 2
# TlFe3Ni, optimized geometry, DFT PBE-GGA
# Volume = 22.414 Å³ per atom
# Offset from the most stable computed form = 1188 meV per atom
# ΔE_f = 2021 meV/atom
data_TlFe3Ni
_cell_length_a 4.821
_cell_length_b 4.821
_cell_length_c 4.821
_cell_angle_alpha 90.00
_cell_angle_beta 90.00
_cell_angle_gamma 90.00
_symmetry_space_group_name_H-M 'P 1'
_symmetry_Int_Tables_number 1
loop_
_symmetry_equiv_pos_as_xyz
'x,y,z'
loop_
_atom_site_label
_atom_site_type_symbol
_atom_site_fract_x
_atom_site_fract_y
_atom_site_fract_z
_atom_site_occupancy
Tl1 Tl 0.000 0.000 0.000 1
Fe1 Fe 0.000 0.000 0.500 1
Fe2 Fe 0.000 0.500 0.000 1
Fe3 Fe 0.500 0.000 0.000 1
Ni1 Ni 0.500 0.500 0.500 1

# 3
# TlAgBrF, optimized geometry, DFT PBE-GGA
# Volume = 28.630 Å³ per atom
# Energy relative to the elements, uncorrected = -0.934 eV per atom
data_TlAgBrF
_cell_length_a 14.235
_cell_length_b 14.235
_cell_length_c 14.235
_cell_angle_alpha 17.55
_cell_angle_beta 17.55
_cell_angle_gamma 17.55
_symmetry_space_group_name_H-M 'P 1'
_symmetry_Int_Tables_number 1
loop_
_symmetry_equiv_pos_as_xyz
'x,y,z'
loop_
_atom_site_label
_atom_site_type_symbol
_atom_site_fract_x
_atom_site_fract_y
_atom_site_fract_z
_atom_site_occupancy
Tl1 Tl 0.000 0.000 0.000 1
Tl2 Tl 0.500 0.500 0.500 1
Ag1 Ag 0.250 0.250 0.250 1
Ag2 Ag 0.750 0.750 0.750 1
Br1 Br 0.115 0.115 0.115 1
Br2 Br 0.885 0.885 0.885 1
F1 F 0.302 0.302 0.302 1
F2 F 0.698 0.698 0.698 1

# 4
# ReSiSe2, optimized geometry, DFT PBE-GGA
# Volume = 18.667 Å³ per atom
# Energy relative to the elements, uncorrected = 0.652 eV per atom
data_ReSiSe2
_cell_length_a 8.033
_cell_length_b 8.033
_cell_length_c 8.033
_cell_angle_alpha 23.89
_cell_angle_beta 23.89
_cell_angle_gamma 23.89
_symmetry_space_group_name_H-M 'P 1'
_symmetry_Int_Tables_number 1
loop_
_symmetry_equiv_pos_as_xyz
'x,y,z'
loop_
_atom_site_label
_atom_site_type_symbol
_atom_site_fract_x
_atom_site_fract_y
_atom_site_fract_z
_atom_site_occupancy
Re1 Re 0.000 0.000 0.000 1
Si1 Si 0.500 0.500 0.500 1
Se1 Se 0.102 0.102 0.102 1
Se2 Se 0.898 0.898 0.898 1

Copy entry 3 word for word.
# TlAgBrF, optimized geometry, DFT PBE-GGA
# Volume = 28.630 Å³ per atom
# Energy relative to the elements, uncorrected = -0.934 eV per atom
data_TlAgBrF
_cell_length_a 14.235
_cell_length_b 14.235
_cell_length_c 14.235
_cell_angle_alpha 17.55
_cell_angle_beta 17.55
_cell_angle_gamma 17.55
_symmetry_space_group_name_H-M 'P 1'
_symmetry_Int_Tables_number 1
loop_
_symmetry_equiv_pos_as_xyz
'x,y,z'
loop_
_atom_site_label
_atom_site_type_symbol
_atom_site_fract_x
_atom_site_fract_y
_atom_site_fract_z
_atom_site_occupancy
Tl1 Tl 0.000 0.000 0.000 1
Tl2 Tl 0.500 0.500 0.500 1
Ag1 Ag 0.250 0.250 0.250 1
Ag2 Ag 0.750 0.750 0.750 1
Br1 Br 0.115 0.115 0.115 1
Br2 Br 0.885 0.885 0.885 1
F1 F 0.302 0.302 0.302 1
F2 F 0.698 0.698 0.698 1